1.
! Li2Ca3Cd2 (PBE, optimized geometry); values from VASP
&SYSTEM
  ibrav = 0, nat = 7, ntyp = 3
/
ATOMIC_SPECIES
Li 6.94 Li.upf
Ca 40.08 Ca.upf
Cd 112.41 Cd.upf
CELL_PARAMETERS angstrom
3.851 0.000 -0.660
-0.193 4.847 -1.130
-0.136 -0.052 10.780
ATOMIC_POSITIONS angstrom
Li 2.058 2.744 0.444
Li 1.464 2.051 8.548
Ca 0.000 0.000 0.000
Ca 0.564 3.348 3.291
Ca 2.958 1.447 5.700
Cd 2.394 0.656 2.403
Cd 1.128 4.139 6.588
! Energy of formation from the pure elements, kJ/mol of formula units: -122
! DOS at the Fermi energy, states/eV/f.u.: 5.1
! Symmetry: No. 71

---

2.
! Li5Ca6Cd (PBE, optimized geometry); values from VASP
&SYSTEM
  ibrav = 0, nat = 12, ntyp = 3
/
ATOMIC_SPECIES
Ca 40.08 Ca.upf
Cd 112.41 Cd.upf
Li 6.94 Li.upf
CELL_PARAMETERS angstrom
5.350 0.012 -1.581
-1.083 6.933 -3.611
-0.134 0.497 9.620
ATOMIC_POSITIONS angstrom
Ca 3.743 4.436 3.014
Ca 4.293 0.913 4.849
Ca 1.719 5.760 6.091
Ca 2.413 1.682 -1.663
Ca -0.161 6.528 -0.421
Ca 0.390 3.006 1.414
Cd 0.000 0.000 0.000
Li 3.350 1.348 1.586
Li 1.330 2.646 4.682
Li -0.542 3.466 -1.805
Li 2.802 4.796 -0.254
Li 0.782 6.094 2.842
! Energy of formation from the pure elements, kJ/mol of formula units: -62
! DOS at the Fermi energy, states/eV/f.u.: 10.7
! Symmetry: No. 12

---

3.
! Li9CaCd3 (PBE, optimized geometry); values from VASP
&SYSTEM
  ibrav = 0, nat = 13, ntyp = 3
/
ATOMIC_SPECIES
Li 6.94 Li.upf
Ca 40.08 Ca.upf
Cd 112.41 Cd.upf
CELL_PARAMETERS angstrom
-3.760 3.318 2.796
-6.900 0.385 -3.184
-3.911 -3.797 5.140
ATOMIC_POSITIONS angstrom
Li -11.146 -0.272 3.545
Li -3.425 0.178 1.207
Li -6.446 -1.226 4.706
Li -8.126 1.132 0.046
Li -6.173 0.878 2.468
Li -8.398 -0.972 2.284
Li -5.928 -1.045 -0.202
Li -8.644 0.951 4.954
Li -3.450 0.192 -1.592
Ca 0.000 0.000 0.000
Cd -5.330 1.851 -0.194
Cd -1.956 -1.898 2.570
Cd -3.836 -0.239 3.968
! Energy of formation from the pure elements, kJ/mol of formula units: -179
! DOS at the Fermi energy, states/eV/f.u.: 6.3
! Symmetry: No. 12

---

4.
! Li2CaCd4 (PBE, optimized geometry); values from VASP
&SYSTEM
  ibrav = 0, nat = 7, ntyp = 3
/
ATOMIC_SPECIES
Li 6.94 Li.upf
Ca 40.08 Ca.upf
Cd 112.41 Cd.upf
CELL_PARAMETERS angstrom
-1.903 3.486 2.843
-0.818 -2.319 2.297
10.114 0.643 1.785
ATOMIC_POSITIONS angstrom
Li 3.896 1.320 5.185
Li 3.498 0.490 1.740
Ca -0.951 1.743 1.421
Cd 1.384 0.968 3.935
Cd 6.010 0.842 2.990
Cd 0.916 -0.974 1.808
Cd 6.478 2.784 5.117
! Energy of formation from the pure elements, kJ/mol of formula units: -144
! DOS at the Fermi energy, states/eV/f.u.: 4.1
! Symmetry: No. 71

---

5.
! LiCa3Cd2 (PBE, optimized geometry); values from VASP
&SYSTEM
  ibrav = 0, nat = 6, ntyp = 3
/
ATOMIC_SPECIES
Li 6.94 Li.upf
Ca 40.08 Ca.upf
Cd 112.41 Cd.upf
CELL_PARAMETERS angstrom
-2.501 1.459 2.520
-3.906 -0.040 -3.854
-0.209 -7.610 4.198
ATOMIC_POSITIONS angstrom
Li 0.000 0.000 0.000
Ca -3.204 0.709 -0.667
Ca -4.624 -4.305 0.825
Ca -1.992 -1.887 2.039
Cd -1.463 -5.162 1.536
Cd -2.652 -2.488 -1.192
! Energy of formation from the pure elements, kJ/mol of formula units: -142
! DOS at the Fermi energy, states/eV/f.u.: 5.7
! Symmetry: No. 65

---

6.
! Li8CaCd4 (PBE, optimized geometry); values from VASP
&SYSTEM
  ibrav = 0, nat = 13, ntyp = 3
/
ATOMIC_SPECIES
Li 6.94 Li.upf
Ca 40.08 Ca.upf
Cd 112.41 Cd.upf
CELL_PARAMETERS angstrom
5.371 0.000 2.159
2.686 6.885 1.079
0.118 0.000 7.467
ATOMIC_POSITIONS angstrom
Li 1.017 2.411 5.231
Li 1.786 4.474 3.316
Li 3.703 4.474 6.310
Li 4.472 2.411 4.396
Li 4.807 5.372 3.562
Li 3.368 1.512 7.144
Li 2.122 1.512 2.483
Li 6.053 5.372 8.223
Ca 0.000 0.000 0.000
Cd 0.059 0.000 3.734
Cd 2.745 0.000 4.813
Cd 1.343 3.442 0.540
Cd 4.028 3.442 1.619
! Energy of formation from the pure elements, kJ/mol of formula units: -231
! DOS at the Fermi energy, states/eV/f.u.: 5.7
! Symmetry: No. 139

---

7.
! Li2CaCd2 (PBE, optimized geometry); values from VASP
&SYSTEM
  ibrav = 0, nat = 5, ntyp = 3
/
ATOMIC_SPECIES
Ca 40.08 Ca.upf
Li 6.94 Li.upf
Cd 112.41 Cd.upf
CELL_PARAMETERS angstrom
4.267 0.000 0.000
0.000 4.267 0.000
2.134 2.134 6.689
ATOMIC_POSITIONS angstrom
Ca 0.000 0.000 0.000
Li 4.267 2.134 3.345
Li 2.134 4.267 3.345
Cd 2.134 2.134 1.459
Cd 4.267 4.267 5.230
! E above lowest polymorph, meV/atom: 21.5
! Energy of formation from the pure elements, kJ/mol of formula units: -98
! DOS at the Fermi energy, states/eV/f.u.: 3.0
! Symmetry: No. 139

---

8.
! LiCa2Cd2 (PBE, optimized geometry); values from VASP
&SYSTEM
  ibrav = 0, nat = 10, ntyp = 3
/
ATOMIC_SPECIES
Ca 40.08 Ca.upf
Li 6.94 Li.upf
Cd 112.41 Cd.upf
CELL_PARAMETERS angstrom
-5.898 4.263 3.327
0.762 -4.219 6.756
3.035 3.002 1.533
ATOMIC_POSITIONS angstrom
Ca 1.036 -0.601 5.837
Ca -1.788 0.837 8.610
Ca -3.138 3.647 5.779
Ca -0.314 2.209 3.005
Li 0.000 0.000 0.000
Li -2.568 0.022 5.041
Cd -1.503 -2.093 7.077
Cd -4.630 1.024 7.161
Cd -3.633 2.137 3.006
Cd -0.506 -0.980 2.921
! E above lowest polymorph, meV/atom: 25.2
! Energy of formation from the pure elements, kJ/mol of formula units: -115
! DOS at the Fermi energy, states/eV/f.u.: 3.5
! Symmetry: No. 127

---

9.
! Li4Ca2Cd3 (PBE, optimized geometry); values from VASP
&SYSTEM
  ibrav = 0, nat = 9, ntyp = 3
/
ATOMIC_SPECIES
Li 6.94 Li.upf
Ca 40.08 Ca.upf
Cd 112.41 Cd.upf
CELL_PARAMETERS angstrom
4.932 0.001 0.001
2.466 4.269 0.161
-0.002 -0.354 9.512
ATOMIC_POSITIONS angstrom
Li 4.930 2.533 8.665
Li 2.465 4.128 3.650
Li 4.931 -0.213 6.023
Li 2.466 1.382 1.009
Ca 2.465 1.160 7.352
Ca 4.931 2.756 2.322
Cd 2.465 1.266 4.137
Cd 0.000 0.000 0.000
Cd 4.931 2.650 5.537
! Energy of formation from the pure elements, kJ/mol of formula units: -176
! DOS at the Fermi energy, states/eV/f.u.: 4.5
! Symmetry: No. 12

---

10.
! Li5CaCd (PBE, optimized geometry); values from VASP
&SYSTEM
  ibrav = 0, nat = 14, ntyp = 3
/
ATOMIC_SPECIES
Li 6.94 Li.upf
Ca 40.08 Ca.upf
Cd 112.41 Cd.upf
CELL_PARAMETERS angstrom
-1.583 2.886 -5.577
2.454 -3.406 -3.713
-12.709 2.921 2.881
ATOMIC_POSITIONS angstrom
Li -4.273 2.676 -4.632
Li -7.534 -0.311 -1.781
Li -4.203 1.307 -7.220
Li -1.997 1.170 -1.711
Li 0.329 -0.898 -2.628
Li -4.741 0.396 -3.075
Li -12.142 3.269 -3.786
Li -7.067 1.982 -3.326
Li -9.827 1.213 -4.692
Li -7.616 1.075 0.796
Ca -9.589 2.717 -1.545
Ca -2.223 -0.316 -4.873
Cd -10.239 -0.484 -0.838
Cd -6.698 2.646 -5.988
! E above lowest polymorph, meV/atom: 0.0
! Energy of formation from the pure elements, kJ/mol of formula units: -39
! DOS at the Fermi energy, states/eV/f.u.: 3.4
! Symmetry: No. 1

---

11.
! Li10CaCd2 (PBE, optimized geometry); values from VASP
&SYSTEM
  ibrav = 0, nat = 13, ntyp = 3
/
ATOMIC_SPECIES
Li 6.94 Li.upf
Ca 40.08 Ca.upf
Cd 112.41 Cd.upf
CELL_PARAMETERS angstrom
-5.549 0.894 -1.129
-4.466 -4.740 3.645
-3.153 5.025 4.925
ATOMIC_POSITIONS angstrom
Li -6.874 0.586 5.143
Li -6.294 0.594 2.298
Li -9.186 2.453 3.426
Li -3.983 -1.273 4.015
Li -1.577 2.513 2.462
Li -4.351 2.960 1.898
Li -3.227 0.294 1.537
Li -9.942 0.886 5.904
Li -6.952 -2.173 3.337
Li -6.217 3.353 4.104
Ca 0.000 0.000 0.000
Cd -2.233 -2.370 1.823
Cd -5.008 -1.923 1.258
! Energy of formation from the pure elements, kJ/mol of formula units: -104
! DOS at the Fermi energy, states/eV/f.u.: 5.4
! Symmetry: No. 69

---

12.
! LiCa4Cd (PBE, optimized geometry); values from VASP
&SYSTEM
  ibrav = 0, nat = 6, ntyp = 3
/
ATOMIC_SPECIES
Li 6.94 Li.upf
Ca 40.08 Ca.upf
Cd 112.41 Cd.upf
CELL_PARAMETERS angstrom
-2.109 3.130 -1.021
-1.877 -2.139 -2.682
-9.168 -3.241 9.003
ATOMIC_POSITIONS angstrom
Li 0.000 0.000 0.000
Ca -9.792 -2.262 5.807
Ca -3.362 0.012 -0.507
Ca -9.858 -1.085 2.064
Ca -3.296 -1.165 3.236
Cd -6.577 -1.125 2.650
! E above lowest polymorph, meV/atom: 0.0
! Energy of formation from the pure elements, kJ/mol of formula units: -66
! DOS at the Fermi energy, states/eV/f.u.: 5.9
! Symmetry: No. 123

---

13.
! Li6CaCd3 (PBE, optimized geometry); values from VASP
&SYSTEM
  ibrav = 0, nat = 20, ntyp = 3
/
ATOMIC_SPECIES
Li 6.94 Li.upf
Ca 40.08 Ca.upf
Cd 112.41 Cd.upf
CELL_PARAMETERS angstrom
7.823 0.000 0.000
0.000 7.297 0.504
0.000 -1.137 7.226
ATOMIC_POSITIONS angstrom
Li 1.025 4.945 4.878
Li 4.937 3.651 5.908
Li 2.353 3.357 6.919
Li 6.265 5.996 4.816
Li 1.710 7.130 0.637
Li 4.556 1.136 5.414
Li 0.645 5.024 2.315
Li 5.621 -0.970 7.092
Li 2.353 0.164 2.914
Li 6.265 2.804 0.810
Li 1.025 2.509 1.821
Li 4.937 1.216 2.852
Ca 0.588 1.028 5.500
Ca 4.500 5.132 2.229
Cd 3.454 5.957 5.565
Cd 7.365 4.095 7.049
Cd 2.839 2.962 3.959
Cd 6.751 3.198 3.771
Cd 7.365 0.203 2.165
Cd 3.454 2.065 0.681
! Energy of formation from the pure elements, kJ/mol of formula units: -142
! DOS at the Fermi energy, states/eV/f.u.: 5.1
! Symmetry: No. 36

---

14.
! Li14CaCd (PBE, optimized geometry); values from VASP
&SYSTEM
  ibrav = 0, nat = 16, ntyp = 3
/
ATOMIC_SPECIES
Li 6.94 Li.upf
Ca 40.08 Ca.upf
Cd 112.41 Cd.upf
CELL_PARAMETERS angstrom
-0.243 6.108 1.231
-4.253 -2.475 -3.829
-6.025 -1.827 7.873
ATOMIC_POSITIONS angstrom
Li -3.440 -0.734 -2.803
Li -1.429 3.569 -0.266
Li -4.925 -1.802 2.267
Li -1.348 0.541 -0.906
Li -7.247 0.075 0.925
Li -3.520 2.296 -2.161
Li -5.260 0.668 5.930
Li -2.136 1.615 1.847
Li -7.367 2.370 4.713
Li -4.243 3.318 0.630
Li -7.189 -0.596 3.880
Li -4.327 0.272 0.140
Li -5.385 3.610 6.638
Li -2.148 4.591 2.408
Ca -7.076 -2.983 0.347
Cd -5.080 1.290 2.866
! Energy of formation from the pure elements, kJ/mol of formula units: -17
! DOS at the Fermi energy, states/eV/f.u.: 7.9
! Symmetry: No. 38

---

15.
! LiCa2Cd2 (PBE, optimized geometry); values from VASP
&SYSTEM
  ibrav = 0, nat = 5, ntyp = 3
/
ATOMIC_SPECIES
Li 6.94 Li.upf
Ca 40.08 Ca.upf
Cd 112.41 Cd.upf
CELL_PARAMETERS angstrom
4.304 0.000 0.000
2.152 5.893 0.265
2.152 1.833 5.606
ATOMIC_POSITIONS angstrom
Li 0.000 0.000 0.000
Ca 2.152 2.249 1.709
Ca 6.456 5.477 4.162
Cd 4.304 2.931 4.162
Cd 4.304 4.795 1.710
! E above lowest polymorph, meV/atom: 0.0
! Energy of formation from the pure elements, kJ/mol of formula units: -127
! DOS at the Fermi energy, states/eV/f.u.: 3.1
! Symmetry: No. 71

---

16.
! Li2CaCd2 (PBE, optimized geometry); values from VASP
&SYSTEM
  ibrav = 0, nat = 10, ntyp = 3
/
ATOMIC_SPECIES
Ca 40.08 Ca.upf
Li 6.94 Li.upf
Cd 112.41 Cd.upf
CELL_PARAMETERS angstrom
8.230 0.000 0.000
0.000 8.230 0.000
0.000 0.000 3.266
ATOMIC_POSITIONS angstrom
Ca 0.000 0.000 0.000
Ca 4.115 4.115 0.000
Li 3.111 7.226 0.000
Li 7.226 5.119 0.000
Li 5.119 1.004 0.000
Li 1.004 3.111 0.000
Cd 1.422 5.537 1.633
Cd 5.537 6.808 1.633
Cd 6.808 2.693 1.633
Cd 2.693 1.422 1.633
! E above lowest polymorph, meV/atom: 0.0
! Energy of formation from the pure elements, kJ/mol of formula units: -108
! DOS at the Fermi energy, states/eV/f.u.: 2.3
! Symmetry: No. 127

---

17.
! LiCa4Cd (PBE, optimized geometry); values from VASP
&SYSTEM
  ibrav = 0, nat = 6, ntyp = 3
/
ATOMIC_SPECIES
Li 6.94 Li.upf
Ca 40.08 Ca.upf
Cd 112.41 Cd.upf
CELL_PARAMETERS angstrom
0.000 4.901 4.901
4.901 0.000 4.901
4.901 4.901 0.000
ATOMIC_POSITIONS angstrom
Li 0.000 0.000 0.000
Ca 3.679 6.123 6.123
Ca 6.123 6.123 3.679
Ca 6.123 3.679 6.123
Ca 3.679 3.679 3.679
Cd 7.351 7.351 7.351
! E above lowest polymorph, meV/atom: 407.9
! Energy of formation from the pure elements, kJ/mol of formula units: 170
! DOS at the Fermi energy, states/eV/f.u.: 8.0
! Symmetry: No. 216

---

18.
! Li5Ca2Cd (PBE, optimized geometry); values from VASP
&SYSTEM
  ibrav = 0, nat = 8, ntyp = 3
/
ATOMIC_SPECIES
Li 6.94 Li.upf
Ca 40.08 Ca.upf
Cd 112.41 Cd.upf
CELL_PARAMETERS angstrom
-4.239 2.959 0.855
-2.054 -3.799 2.966
6.272 3.232 3.856
ATOMIC_POSITIONS angstrom
Li -3.146 -0.420 1.910
Li 0.399 3.745 5.073
Li 1.491 0.366 6.128
Li -0.419 -1.353 2.605
Li -1.511 2.026 1.549
Ca -1.537 1.028 4.880
Ca 1.516 1.364 2.798
Cd 0.000 0.000 0.000
! E above lowest polymorph, meV/atom: 0.0
! Energy of formation from the pure elements, kJ/mol of formula units: -51
! DOS at the Fermi energy, states/eV/f.u.: 4.2
! Symmetry: No. 139

---

19.
! LiCa6Cd (PBE, optimized geometry); values from VASP
&SYSTEM
  ibrav = 0, nat = 8, ntyp = 3
/
ATOMIC_SPECIES
Li 6.94 Li.upf
Ca 40.08 Ca.upf
Cd 112.41 Cd.upf
CELL_PARAMETERS angstrom
7.311 -0.553 -0.496
-3.233 6.581 -0.496
-1.307 -1.932 6.944
ATOMIC_POSITIONS angstrom
Li 0.000 0.000 0.000
Ca 0.047 0.069 4.943
Ca 2.788 -0.357 1.488
Ca 2.724 4.026 1.009
Ca 4.140 1.641 4.464
Ca -0.017 4.453 4.464
Ca -1.369 2.455 1.488
Cd 1.385 2.048 2.976
! E above lowest polymorph, meV/atom: 131.0
! Energy of formation from the pure elements, kJ/mol of formula units: 33
! DOS at the Fermi energy, states/eV/f.u.: 8.1
! Symmetry: No. 12

---

20.
! Li3CaCd4 (PBE, optimized geometry); values from VASP
&SYSTEM
  ibrav = 0, nat = 8, ntyp = 3
/
ATOMIC_SPECIES
Ca 40.08 Ca.upf
Cd 112.41 Cd.upf
Li 6.94 Li.upf
CELL_PARAMETERS angstrom
-1.707 -1.325 -4.339
-3.096 -3.712 -0.356
-8.112 3.661 -0.634
ATOMIC_POSITIONS angstrom
Ca 0.000 0.000 0.000
Cd -7.340 -2.957 -4.332
Cd -8.540 1.020 -2.367
Cd -5.575 1.580 -0.997
Cd -4.375 -2.396 -2.962
Li -3.332 -0.259 -1.317
Li -9.582 -1.117 -4.012
Li -6.457 -0.688 -2.665
! Energy of formation from the pure elements, kJ/mol of formula units: -190
! DOS at the Fermi energy, states/eV/f.u.: 2.4
! Symmetry: No. 166